# 1
# PrNd6Sm2Y3 PBE-GGA optimized geometry
data_PrNd6Sm2Y3
_chemical_formula_sum 'Pr2 Nd12 Sm4 Y6'
_space_group_name_H-M_alt 'C 1 2/m 1'
_space_group_IT_number 12
_space_group_name_Hall '-C 2y'
_cell_length_a 6.3320
_cell_length_b 10.9706
_cell_length_c 12.0370
_cell_angle_alpha 90.00
_cell_angle_beta 100.09
_cell_angle_gamma 90.00
loop_
_atom_site_label
_atom_site_type_symbol
_atom_site_fract_x
_atom_site_fract_y
_atom_site_fract_z
Pr1 Pr 0.0000 0.0000 0.0000
Nd1 Nd 0.2483 0.3331 0.7476
Nd2 Nd 0.2491 0.0000 0.7475
Sm1 Sm 0.0000 0.3335 0.0000
Y1 Y 0.0000 0.1669 0.5000
Y2 Y 0.0000 0.5000 0.5000
# Calculated total energy in Ry/atom: -0.3802
# Formation energy from the elements in meV/atom: 11
# Total magnetic moment in μB per atom: 0.000

---

# 2
# Li6Mg2Ga3 PBE-GGA optimized geometry
data_Li6Mg2Ga3
_chemical_formula_sum 'Li12 Mg4 Ga6'
_space_group_name_H-M_alt 'I 4/m m m'
_space_group_IT_number 139
_space_group_name_Hall '-I 4 2'
_cell_length_a 3.9260
_cell_length_b 3.9260
_cell_length_c 26.9942
_cell_angle_alpha 90.00
_cell_angle_beta 90.00
_cell_angle_gamma 90.00
loop_
_atom_site_label
_atom_site_type_symbol
_atom_site_fract_x
_atom_site_fract_y
_atom_site_fract_z
Li1 Li 0.0000 0.0000 0.2464
Li2 Li 0.0000 0.5000 0.1599
Mg1 Mg 0.0000 0.0000 0.4411
Ga1 Ga 0.0000 0.0000 0.0000
Ga2 Ga 0.0000 0.0000 0.0943
# Calculated total energy in Ry/atom: -0.1650
# Formation energy from the elements in meV/atom: -86
# Total magnetic moment in μB per atom: 0.000

---

# 3
# Cu3HgOs PBE-GGA optimized geometry
data_Cu3HgOs
_chemical_formula_sum 'Cu3 Hg1 Os1'
_space_group_name_H-M_alt 'P m -3 m'
_space_group_IT_number 221
_space_group_name_Hall '-P 4 2 3'
_cell_length_a 4.6767
_cell_length_b 4.6767
_cell_length_c 4.6767
_cell_angle_alpha 90.00
_cell_angle_beta 90.00
_cell_angle_gamma 90.00
loop_
_atom_site_label
_atom_site_type_symbol
_atom_site_fract_x
_atom_site_fract_y
_atom_site_fract_z
Cu1 Cu 0.0000 0.0000 0.5000
Hg1 Hg 0.0000 0.0000 0.0000
Os1 Os 0.5000 0.5000 0.5000
# Energy above the lowest structure with this stoichiometry in meV/atom: 547
# Calculated total energy in Ry/atom: -0.2146
# Formation energy from the elements in meV/atom: 1845
# Total magnetic moment in μB per atom: 0.456

---

# 4
# Pr2YIn4 PBE-GGA optimized geometry
data_Pr2YIn4
_chemical_formula_sum 'Pr4 Y2 In8'
_space_group_name_H-M_alt 'I 4/m m m'
_space_group_IT_number 139
_space_group_name_Hall '-I 4 2'
_cell_length_a 5.3299
_cell_length_b 5.3299
_cell_length_c 15.0611
_cell_angle_alpha 90.00
_cell_angle_beta 90.00
_cell_angle_gamma 90.00
loop_
_atom_site_label
_atom_site_type_symbol
_atom_site_fract_x
_atom_site_fract_y
_atom_site_fract_z
Pr1 Pr 0.0000 0.0000 0.2483
Y1 Y 0.0000 0.0000 0.5000
In1 In 0.0000 0.5000 0.1092
# Energy above the lowest structure with this stoichiometry in meV/atom: 0
# Calculated total energy in Ry/atom: -0.3077
# Formation energy from the elements in meV/atom: -332
# Total magnetic moment in μB per atom: 0.000

---

# 5
# LiCuAg PBE-GGA optimized geometry
data_LiCuAg
_chemical_formula_sum 'Li2 Cu2 Ag2'
_space_group_name_H-M_alt 'P 1 m 1'
_space_group_IT_number 6
_space_group_name_Hall 'P -2y'
_cell_length_a 2.7507
_cell_length_b 4.2483
_cell_length_c 7.4047
_cell_angle_alpha 90.00
_cell_angle_beta 91.05
_cell_angle_gamma 90.00
loop_
_atom_site_label
_atom_site_type_symbol
_atom_site_fract_x
_atom_site_fract_y
_atom_site_fract_z
Li1 Li 0.0000 0.0000 0.0000
Li2 Li 0.4983 0.5000 0.5005
Cu1 Cu 0.0097 0.5000 0.8008
Cu2 Cu 0.5004 0.0000 0.6992
Ag1 Ag 0.5064 0.5000 0.1372
Ag2 Ag 0.9936 0.0000 0.3635
# Energy above the lowest structure with this stoichiometry in meV/atom: 0
# Calculated total energy in Ry/atom: -0.2230
# Formation energy from the elements in meV/atom: -80
# Total magnetic moment in μB per atom: 0.000

---

# 6
# TaTi3C4 PBE-GGA optimized geometry
data_TaTi3C4
_chemical_formula_sum 'Ta1 Ti3 C4'
_space_group_name_H-M_alt 'P m -3 m'
_space_group_IT_number 221
_space_group_name_Hall '-P 4 2 3'
_cell_length_a 4.3784
_cell_length_b 4.3784
_cell_length_c 4.3784
_cell_angle_alpha 90.00
_cell_angle_beta 90.00
_cell_angle_gamma 90.00
loop_
_atom_site_label
_atom_site_type_symbol
_atom_site_fract_x
_atom_site_fract_y
_atom_site_fract_z
Ta1 Ta 0.0000 0.0000 0.0000
Ti1 Ti 0.0000 0.5000 0.5000
C1 C 0.0000 0.0000 0.5000
C2 C 0.5000 0.5000 0.5000
# Energy above the lowest structure with this stoichiometry in meV/atom: 10
# Calculated total energy in Ry/atom: -0.7238
# Formation energy from the elements in meV/atom: -794
# Total magnetic moment in μB per atom: 0.000

---

# 7
# Na4ZnCd4 PBE-GGA optimized geometry
data_Na4ZnCd4
_chemical_formula_sum 'Na8 Zn2 Cd8'
_space_group_name_H-M_alt 'I -4 2 m'
_space_group_IT_number 121
_space_group_name_Hall 'I -4 2'
_cell_length_a 5.9109
_cell_length_b 5.9109
_cell_length_c 13.5063
_cell_angle_alpha 90.00
_cell_angle_beta 90.00
_cell_angle_gamma 90.00
loop_
_atom_site_label
_atom_site_type_symbol
_atom_site_fract_x
_atom_site_fract_y
_atom_site_fract_z
Na1 Na 0.1941 0.1941 0.0919
Zn1 Zn 0.0000 0.0000 0.5000
Cd1 Cd 0.1924 0.1924 0.3189
# Calculated total energy in Ry/atom: -0.0805
# Formation energy from the elements in meV/atom: 40
# Total magnetic moment in μB per atom: 0.000

---

# 8
# Ca2Se3O8 PBE-GGA optimized geometry
data_Ca2Se3O8
_chemical_formula_sum 'Ca4 Se6 O16'
_space_group_name_H-M_alt 'P -1'
_space_group_IT_number 2
_space_group_name_Hall '-P 1'
_cell_length_a 5.5959
_cell_length_b 8.4479
_cell_length_c 8.8749
_cell_angle_alpha 92.87
_cell_angle_beta 95.81
_cell_angle_gamma 97.56
loop_
_atom_site_label
_atom_site_type_symbol
_atom_site_fract_x
_atom_site_fract_y
_atom_site_fract_z
Ca1 Ca 0.2077 0.3384 0.0377
Ca2 Ca 0.2585 0.5443 0.6520
Se1 Se 0.2244 0.1825 0.4211
Se2 Se 0.2720 0.9430 0.8182
Se3 Se 0.3261 0.6872 0.2386
O1 O 0.0025 0.0256 0.3158
O2 O 0.0483 0.5717 0.1781
O3 O 0.0497 0.3213 0.4759
O4 O 0.1786 0.7567 0.8731
O5 O 0.2459 0.0761 0.9594
O6 O 0.3709 0.2659 0.2784
O7 O 0.4146 0.6280 0.4159
O8 O 0.4884 0.4212 0.8599
# Calculated total energy in Ry/atom: -0.4266
# ΔE_f (raw) in eV/atom: -1.6414
# Total magnetic moment in μB per atom: 0.000

---

# 9
# ErAgSe2 PBE-GGA optimized geometry
data_ErAgSe2
_chemical_formula_sum 'Er4 Ag4 Se8'
_space_group_name_H-M_alt 'I 41/a m d'
_space_group_IT_number 141
_cell_length_a 5.6669
_cell_length_b 5.6669
_cell_length_c 12.2389
_cell_angle_alpha 90.00
_cell_angle_beta 90.00
_cell_angle_gamma 90.00
loop_
_space_group_symop_operation_xyz
'x,y,z'
'-x,-y,-z'
'-y+1/4,x+3/4,z+1/4'
'y+1/4,-x+3/4,-z+1/4'
'-x+1/2,-y,z+1/2'
'x+1/2,y,-z+1/2'
'y+1/4,-x+1/4,z+3/4'
'-y+1/4,x+1/4,-z+3/4'
'x,-y,-z'
'-x,y,z'
'-y+1/4,-x+1/4,-z+3/4'
'y+1/4,x+1/4,z+3/4'
'-x+1/2,y,-z+1/2'
'x+1/2,-y,z+1/2'
'y+1/4,x+3/4,-z+1/4'
'-y+1/4,-x+3/4,z+1/4'
'x+1/2,y+1/2,z+1/2'
'-x+1/2,-y+1/2,-z+1/2'
'-y+3/4,x+1/4,z+3/4'
'y+3/4,-x+1/4,-z+3/4'
'-x,-y+1/2,z'
'x,y+1/2,-z'
'y+3/4,-x+3/4,z+1/4'
'-y+3/4,x+3/4,-z+1/4'
'x+1/2,-y+1/2,-z+1/2'
'-x+1/2,y+1/2,z+1/2'
'-y+3/4,-x+3/4,-z+1/4'
'y+3/4,x+3/4,z+1/4'
'-x,y+1/2,-z'
'x,-y+1/2,z'
'y+3/4,x+1/4,-z+3/4'
'-y+3/4,-x+1/4,z+3/4'
loop_
_atom_site_label
_atom_site_type_symbol
_atom_site_fract_x
_atom_site_fract_y
_atom_site_fract_z
Er1 Er 0.0000 0.2500 0.3750
Ag1 Ag 0.0000 0.2500 0.8750
Se1 Se 0.0000 0.2500 0.1421
# Calculated total energy in Ry/atom: -0.3497
# ΔE_f (raw) in eV/atom: -1.1621
# Total magnetic moment in μB per atom: 0.000

---

# 10
# RbTlCdSb PBE-GGA optimized geometry
data_RbTlCdSb
_chemical_formula_sum 'Rb2 Tl2 Cd2 Sb2'
_space_group_name_H-M_alt 'P 4/n m m'
_space_group_IT_number 129
_cell_length_a 4.6224
_cell_length_b 4.6224
_cell_length_c 14.5146
_cell_angle_alpha 90.00
_cell_angle_beta 90.00
_cell_angle_gamma 90.00
loop_
_space_group_symop_operation_xyz
'x,y,z'
'-x,-y,-z'
'-y+1/2,x,z'
'y+1/2,-x,-z'
'-x+1/2,-y+1/2,z'
'x+1/2,y+1/2,-z'
'y,-x+1/2,z'
'-y,x+1/2,-z'
'x+1/2,-y,-z'
'-x+1/2,y,z'
'-y,-x,-z'
'y,x,z'
'-x,y+1/2,-z'
'x,-y+1/2,z'
'y+1/2,x+1/2,-z'
'-y+1/2,-x+1/2,z'
loop_
_atom_site_label
_atom_site_type_symbol
_atom_site_fract_x
_atom_site_fract_y
_atom_site_fract_z
Rb1 Rb 0.2500 0.2500 0.2457
Tl1 Tl 0.2500 0.7500 0.5000
Cd1 Cd 0.2500 0.7500 0.0000
Sb1 Sb 0.2500 0.2500 0.8729
# Energy above the lowest structure with this stoichiometry in meV/atom: 0
# Calculated total energy in Ry/atom: -0.1680
# ΔE_f (raw) in eV/atom: -0.1928
# Total magnetic moment in μB per atom: 0.000

---

# 11
# GaRe2Tc PBE-GGA optimized geometry
data_GaRe2Tc
_chemical_formula_sum 'Ga3 Re6 Tc3'
_space_group_name_H-M_alt 'R 3 m'
_space_group_IT_number 160
_space_group_name_Hall 'R 3 -2"'
_cell_length_a 4.2094
_cell_length_b 4.2094
_cell_length_c 12.9592
_cell_angle_alpha 90.00
_cell_angle_beta 90.00
_cell_angle_gamma 120.00
loop_
_atom_site_label
_atom_site_type_symbol
_atom_site_fract_x
_atom_site_fract_y
_atom_site_fract_z
Ga1 Ga 0.0000 0.0000 0.0000
Re1 Re 0.0000 0.0000 0.3995
Re2 Re 0.0000 0.0000 0.5873
Tc1 Tc 0.0000 0.0000 0.7997
# Energy above the lowest structure with this stoichiometry in meV/atom: 144
# Calculated total energy in Ry/atom: -0.6732
# Formation energy from the elements in meV/atom: 412
# Total magnetic moment in μB per atom: 0.000

---

# 12
# Sc2OsRu PBE-GGA optimized geometry
data_Sc2OsRu
_chemical_formula_sum 'Sc2 Os1 Ru1'
_space_group_name_H-M_alt 'P 1 2/m 1'
_space_group_IT_number 10
_space_group_name_Hall '-P 2y'
_cell_length_a 2.9416
_cell_length_b 4.1717
_cell_length_c 5.5003
_cell_angle_alpha 90.00
_cell_angle_beta 97.17
_cell_angle_gamma 90.00
loop_
_atom_site_label
_atom_site_type_symbol
_atom_site_fract_x
_atom_site_fract_y
_atom_site_fract_z
Sc1 Sc 0.2373 0.0000 0.2498
Os1 Os 0.5000 0.5000 0.0000
Ru1 Ru 0.0000 0.5000 0.5000
# Calculated total energy in Ry/atom: -0.6249
# Formation energy from the elements in meV/atom: -210
# Total magnetic moment in μB per atom: 0.000